No. 1
## La4PrHo2Sc (GGA-PBE)

Data for an optimized crystal structure of La4PrHo2Sc.

Results
total DFT energy (no corrections): -4.905 eV per atom
calculated formation energy: 0.093 eV/atom
M_tot: 0.00 μB per cell

a b c (Å): 5.944 9.707 5.943
angles (deg): 52.23 90.00 90.00
Positions (direct):
La  0.000  0.749  0.753
La  0.000  0.251  0.247
La  0.500  0.746  0.253
La  0.500  0.254  0.747
Pr  0.500  0.500  0.000
Ho  0.000  0.000  0.000
Ho  0.500  0.000  0.500
Sc  0.000  0.500  0.500

No. 2
## La2Pr3Ho6Sc (GGA-PBE)

Data for an optimized crystal structure of La2Pr3Ho6Sc.

Results
total DFT energy (no corrections): -4.805 eV per atom
calculated formation energy: 0.027 eV/atom
M_tot: 0.00 μB per cell

a b c (Å): 6.218 6.218 11.839
angles (deg): 95.01 95.01 120.00
Positions (direct):
La  0.334  0.666  0.000
La  0.666  0.334  0.000
Pr  0.167  0.833  0.500
Pr  0.833  0.167  0.500
Pr  0.500  0.500  0.500
Ho  0.917  0.588  0.752
Ho  0.753  0.753  0.248
Ho  0.083  0.412  0.248
Ho  0.588  0.917  0.752
Ho  0.247  0.247  0.752
Ho  0.412  0.083  0.248
Sc  0.000  0.000  0.000